(1)
VASP calculation (GGA-PBE) on a relaxed structure of Al2Ga2P.

Results
* symmetry: P4/mbm, No. 127

Cell: 6.5312 6.5312 4.3329 Å, 90.00 90.00 90.00°
Sites, in units of the cell vectors:
Al (0.1450, 0.3550, 0.0000)
Al (0.3550, 0.8550, 0.0000)
Al (0.6450, 0.1450, 0.0000)
Al (0.8550, 0.6450, 0.0000)
Ga (0.1577, 0.6577, 0.5000)
Ga (0.3423, 0.1577, 0.5000)
Ga (0.6577, 0.8423, 0.5000)
Ga (0.8423, 0.3423, 0.5000)
P (0.0000, 0.0000, 0.0000)
P (0.5000, 0.5000, 0.0000)

---

(2)
VASP calculation (GGA-PBE) on a relaxed structure of Al2Ga2P.

Results
* symmetry: P4/mbm, No. 127

Cell: 8.0783 8.0783 2.7087 Å, 90.00 90.00 90.00°
Sites, in units of the cell vectors:
Al (0.1315, 0.3685, 0.0000)
Al (0.3685, 0.8685, 0.0000)
Al (0.6315, 0.1315, 0.0000)
Al (0.8685, 0.6315, 0.0000)
Ga (0.1690, 0.6690, 0.5000)
Ga (0.3310, 0.1690, 0.5000)
Ga (0.6690, 0.8310, 0.5000)
Ga (0.8310, 0.3310, 0.5000)
P (0.0000, 0.0000, 0.5000)
P (0.5000, 0.5000, 0.5000)

---

(1) comes first in stability; the runner-up is 0.120 eV/atom higher.

---

(1)
VASP calculation (GGA-PBE) on a relaxed structure of AlGaP2.

Results
* symmetry: I-42d, No. 122

Cell: 5.5035 5.5035 11.0105 Å, 90.00 90.00 90.00°
Sites, in units of the cell vectors:
Al (0.0000, 0.0000, 0.0000)
Al (0.0000, 0.5000, 0.2500)
Al (0.5000, 0.0000, 0.7500)
Al (0.5000, 0.5000, 0.5000)
Ga (0.0000, 0.0000, 0.5000)
Ga (0.0000, 0.5000, 0.7500)
Ga (0.5000, 0.0000, 0.2500)
Ga (0.5000, 0.5000, 0.0000)
P (0.2491, 0.2500, 0.1250)
P (0.2500, 0.7491, 0.3750)
P (0.2500, 0.7509, 0.8750)
P (0.2509, 0.2500, 0.6250)
P (0.7491, 0.7500, 0.6250)
P (0.7500, 0.2491, 0.8750)
P (0.7500, 0.2509, 0.3750)
P (0.7509, 0.7500, 0.1250)

---

(2)
VASP calculation (GGA-PBE) on a relaxed structure of AlGaP2.

Results
* symmetry: Fm-3m, No. 225

Cell: 6.3312 6.3312 6.3312 Å, 90.00 90.00 90.00°
Sites, in units of the cell vectors:
Al (0.0000, 0.0000, 0.0000)
Al (0.0000, 0.5000, 0.5000)
Al (0.5000, 0.0000, 0.5000)
Al (0.5000, 0.5000, 0.0000)
Ga (0.0000, 0.0000, 0.5000)
Ga (0.0000, 0.5000, 0.0000)
Ga (0.5000, 0.0000, 0.0000)
Ga (0.5000, 0.5000, 0.5000)
P (0.2500, 0.2500, 0.2500)
P (0.2500, 0.2500, 0.7500)
P (0.2500, 0.7500, 0.2500)
P (0.2500, 0.7500, 0.7500)
P (0.7500, 0.2500, 0.2500)
P (0.7500, 0.2500, 0.7500)
P (0.7500, 0.7500, 0.2500)
P (0.7500, 0.7500, 0.7500)

---

(3)
VASP calculation (GGA-PBE) on a relaxed structure of AlGaP2.

Results
* symmetry: R-3m, No. 166

Cell: 3.8436 3.8436 20.4363 Å, 90.00 90.00 120.00°
Sites, in units of the cell vectors:
Al (0.0000, 0.0000, 0.0000)
Al (0.3333, 0.6667, 0.6667)
Al (0.6667, 0.3333, 0.3333)
Ga (0.0000, 0.0000, 0.5000)
Ga (0.3333, 0.6667, 0.1667)
Ga (0.6667, 0.3333, 0.8333)
P (0.0000, 0.0000, 0.3913)
P (0.0000, 0.0000, 0.6087)
P (0.3333, 0.6667, 0.0580)
P (0.3333, 0.6667, 0.2754)
P (0.6667, 0.3333, 0.7246)
P (0.6667, 0.3333, 0.9420)

---

(1) comes first in stability; the runner-up is 0.561 eV/atom higher.

---

(1)
VASP calculation (GGA-PBE) on a relaxed structure of Al2GaP.

Results
* symmetry: I-42d, No. 122

Cell: 6.0044 6.0044 10.2065 Å, 90.00 90.00 90.00°
Sites, in units of the cell vectors:
Al (0.2221, 0.2500, 0.1250)
Al (0.2500, 0.7221, 0.3750)
Al (0.2500, 0.7779, 0.8750)
Al (0.2779, 0.2500, 0.6250)
Al (0.7221, 0.7500, 0.6250)
Al (0.7500, 0.2221, 0.8750)
Al (0.7500, 0.2779, 0.3750)
Al (0.7779, 0.7500, 0.1250)
Ga (0.0000, 0.0000, 0.5000)
Ga (0.0000, 0.5000, 0.7500)
Ga (0.5000, 0.0000, 0.2500)
Ga (0.5000, 0.5000, 0.0000)
P (0.0000, 0.0000, 0.0000)
P (0.0000, 0.5000, 0.2500)
P (0.5000, 0.0000, 0.7500)
P (0.5000, 0.5000, 0.5000)

---

(2)
VASP calculation (GGA-PBE) on a relaxed structure of Al2GaP.

Results
* symmetry: Fm-3m, No. 225

Cell: 6.4243 6.4243 6.4243 Å, 90.00 90.00 90.00°
Sites, in units of the cell vectors:
Al (0.2500, 0.2500, 0.2500)
Al (0.2500, 0.2500, 0.7500)
Al (0.2500, 0.7500, 0.2500)
Al (0.2500, 0.7500, 0.7500)
Al (0.7500, 0.2500, 0.2500)
Al (0.7500, 0.2500, 0.7500)
Al (0.7500, 0.7500, 0.2500)
Al (0.7500, 0.7500, 0.7500)
Ga (0.0000, 0.0000, 0.0000)
Ga (0.0000, 0.5000, 0.5000)
Ga (0.5000, 0.0000, 0.5000)
Ga (0.5000, 0.5000, 0.0000)
P (0.0000, 0.0000, 0.5000)
P (0.0000, 0.5000, 0.0000)
P (0.5000, 0.0000, 0.0000)
P (0.5000, 0.5000, 0.5000)

---

(1) comes first in stability; the runner-up is 0.160 eV/atom higher.

---

(1)
VASP calculation (GGA-PBE) on a relaxed structure of AlGa3P.

Results
* symmetry: Pm-3m, No. 221

Cell: 4.7961 4.7961 4.7961 Å, 90.00 90.00 90.00°
Sites, in units of the cell vectors:
Al (0.0000, 0.0000, 0.0000)
Ga (0.0000, 0.5000, 0.5000)
Ga (0.5000, 0.0000, 0.5000)
Ga (0.5000, 0.5000, 0.0000)
P (0.5000, 0.5000, 0.5000)

---

(2)
VASP calculation (GGA-PBE) on a relaxed structure of AlGa3P.

Results
* symmetry: Pm-3m, No. 221

Cell: 4.8780 4.8780 4.8780 Å, 90.00 90.00 90.00°
Sites, in units of the cell vectors:
Al (0.0000, 0.0000, 0.0000)
Ga (0.0000, 0.0000, 0.5000)
Ga (0.0000, 0.5000, 0.0000)
Ga (0.5000, 0.0000, 0.0000)
P (0.5000, 0.5000, 0.5000)

---

(1) comes first in stability; the runner-up is 0.175 eV/atom higher.

---

(1)
VASP calculation (GGA-PBE) on a relaxed structure of Pa2Al2Ga.

Results
* symmetry: C2/m, No. 12

Cell: 5.6294 5.6294 9.3016 Å, 106.19 106.19 47.81°
Sites, in units of the cell vectors:
Pa (0.0699, 0.0699, 0.3617)
Pa (0.1757, 0.1757, 0.0565)
Pa (0.8243, 0.8243, 0.9435)
Pa (0.9301, 0.9301, 0.6383)
Al (0.3791, 0.3791, 0.3962)
Al (0.4894, 0.4894, 0.1389)
Al (0.5106, 0.5106, 0.8611)
Al (0.6209, 0.6209, 0.6038)
Ga (0.2472, 0.2472, 0.7020)
Ga (0.7528, 0.7528, 0.2980)

---

(2)
VASP calculation (GGA-PBE) on a relaxed structure of Pa2Al2Ga.

Results
* symmetry: Cmmm, No. 65

Cell: 4.6037 14.5524 3.0541 Å, 90.00 90.00 90.00°
Sites, in units of the cell vectors:
Pa (0.0000, 0.1083, 0.0000)
Pa (0.0000, 0.8917, 0.0000)
Pa (0.5000, 0.3917, 0.0000)
Pa (0.5000, 0.6083, 0.0000)
Al (0.0000, 0.2960, 0.5000)
Al (0.0000, 0.7040, 0.5000)
Al (0.5000, 0.2040, 0.5000)
Al (0.5000, 0.7960, 0.5000)
Ga (0.0000, 0.5000, 0.5000)
Ga (0.5000, 0.0000, 0.5000)

---

(2) comes first in stability; the runner-up is 0.026 eV/atom higher.

---

(1)
VASP calculation (GGA-PBE) on a relaxed structure of Pa2AlGa.

Results
* symmetry: Imma, No. 74

Cell: 6.2126 8.6871 6.3753 Å, 90.00 90.00 90.00°
Sites, in units of the cell vectors:
Pa (0.2500, 0.0193, 0.2500)
Pa (0.2500, 0.4807, 0.2500)
Pa (0.2500, 0.5193, 0.7500)
Pa (0.2500, 0.9807, 0.7500)
Pa (0.7500, 0.0193, 0.2500)
Pa (0.7500, 0.4807, 0.2500)
Pa (0.7500, 0.5193, 0.7500)
Pa (0.7500, 0.9807, 0.7500)
Al (0.0000, 0.2500, 0.5354)
Al (0.0000, 0.7500, 0.4646)
Al (0.5000, 0.2500, 0.9646)
Al (0.5000, 0.7500, 0.0354)
Ga (0.0000, 0.2500, 0.9649)
Ga (0.0000, 0.7500, 0.0351)
Ga (0.5000, 0.2500, 0.5351)
Ga (0.5000, 0.7500, 0.4649)

---

(2)
VASP calculation (GGA-PBE) on a relaxed structure of Pa2AlGa.

Results
* symmetry: P4/mmm, No. 123

Cell: 3.8569 3.8569 6.0200 Å, 90.00 90.00 90.00°
Sites, in units of the cell vectors:
Pa (0.0000, 0.0000, 0.2477)
Pa (0.0000, 0.0000, 0.7523)
Al (0.5000, 0.5000, 0.5000)
Ga (0.5000, 0.5000, 0.0000)

---

(1) comes first in stability; the runner-up is 0.118 eV/atom higher.